(1)
The following is a PBE calculation of a relaxed DyPH crystal, from the Alexandria database.

electronic total energy: -4.975 eV per atom
offset from the most stable computed form: 35.4 kJ/mol of atoms
DOS at the Fermi energy: 1.740 states/eV/cell

Unit cell a=3.895 b=3.895 c=4.371 alpha=116.46 beta=116.46 gamma=90.00
Sites, in units of the cell vectors:
H  0.990  0.990  0.980
Dy  0.638  0.638  0.277
P  0.222  0.222  0.443

***

(2)
The following is a PBE calculation of a relaxed KRb2RuCl6 crystal, from the Alexandria database.

electronic total energy: -3.708 eV per atom
offset from the most stable computed form: 0.0 kJ/mol of atoms
DOS at the Fermi energy: 19.003 states/eV/cell
uncorrected formation energy: -13.693 eV/f.u.

Unit cell a=7.293 b=8.027 c=10.715 alpha=90.00 beta=90.00 gamma=90.00
Sites, in units of the cell vectors:
Rb  0.500  0.794  0.775
Rb  0.000  0.206  0.725
Rb  0.000  0.206  0.275
Rb  0.500  0.794  0.225
Cl  0.732  0.422  0.500
Cl  0.771  0.999  0.000
Cl  0.271  0.001  0.500
Cl  0.729  0.001  0.500
Cl  0.232  0.578  0.000
Cl  0.768  0.578  0.000
Cl  0.000  0.786  0.223
Cl  0.229  0.999  0.000
Cl  0.500  0.214  0.723
Cl  0.268  0.422  0.500
Cl  0.000  0.786  0.777
Cl  0.500  0.214  0.277
K  0.500  0.291  0.000
K  0.000  0.709  0.500
Ru  0.500  0.214  0.500
Ru  0.000  0.786  0.000

***

(3)
The following is a PBE calculation of a relaxed BeZnTe2 crystal, from the Alexandria database.

electronic total energy: -2.676 eV per atom
offset from the most stable computed form: 53.2 kJ/mol of atoms
DOS at the Fermi energy: 1.563 states/eV/cell
uncorrected formation energy: 0.578 eV/f.u.

Unit cell a=10.746 b=10.746 c=5.575 alpha=90.00 beta=90.00 gamma=159.20
Sites, in units of the cell vectors:
Te  0.922  0.078  0.250
Te  0.078  0.922  0.750
Te  0.246  0.754  0.250
Te  0.754  0.246  0.750
Be  0.643  0.357  0.750
Be  0.357  0.643  0.250
Zn  0.929  0.071  0.750
Zn  0.071  0.929  0.250

***

(4)
The following is a PBE calculation of a relaxed CrCdOs2 crystal, from the Alexandria database.

electronic total energy: -7.610 eV per atom
DOS at the Fermi energy: 3.018 states/eV/cell
calculated formation energy: 0.640 eV per atom

Unit cell a=5.225 b=5.225 c=5.225 alpha=146.66 beta=128.36 gamma=62.87
Sites, in units of the cell vectors:
Cr  0.226  0.726  0.500
Os  0.767  0.267  0.500
Os  0.018  0.018  0.000
Cd  0.489  0.489  0.000

***

(5)
The following is a PBE calculation of a relaxed SmAl4Cu2Ir crystal, from the Alexandria database.

electronic total energy: -5.049 eV per atom
DOS at the Fermi energy: 2.951 states/eV/cell
calculated formation energy: -0.456 eV per atom

Unit cell a=4.195 b=4.195 c=9.299 alpha=76.96 beta=76.96 gamma=60.00
Sites, in units of the cell vectors:
Ir  0.500  0.500  0.500
Al  0.406  0.406  0.783
Al  0.594  0.594  0.217
Al  0.868  0.868  0.397
Al  0.132  0.132  0.603
Sm  0.000  0.000  0.000
Cu  0.238  0.238  0.287
Cu  0.762  0.762  0.713

***

(6)
The following is a PBE calculation of a relaxed KTl11Sn crystal, from the Alexandria database.

electronic total energy: -2.400 eV per atom
DOS at the Fermi energy: 6.134 states/eV/cell
calculated formation energy: -0.005 eV per atom

Unit cell a=6.546 b=8.672 c=8.662 alpha=82.15 beta=67.80 gamma=68.81
Sites, in units of the cell vectors:
Tl  0.000  0.000  0.500
Tl  0.292  0.215  0.210
Tl  0.500  0.000  0.500
Tl  0.992  0.360  0.646
Tl  0.008  0.640  0.354
Tl  0.362  0.640  0.646
Tl  0.498  0.785  0.210
Tl  0.708  0.785  0.790
Tl  0.638  0.360  0.354
Tl  0.502  0.215  0.790
Tl  0.000  0.500  0.000
Sn  0.500  0.500  0.000
K  0.000  0.000  0.000

***

(7)
The following is a PBE calculation of a relaxed KTl3As crystal, from the Alexandria database.

electronic total energy: -2.429 eV per atom
offset from the most stable computed form: 27.8 kJ/mol of atoms
DOS at the Fermi energy: 4.396 states/eV/cell
calculated formation energy: 0.140 eV per atom

Unit cell a=5.808 b=5.808 c=5.808 alpha=90.00 beta=90.00 gamma=90.00
Sites, in units of the cell vectors:
Tl  0.000  0.000  0.500
Tl  0.000  0.500  0.000
Tl  0.500  0.000  0.000
As  0.000  0.000  0.000
K  0.500  0.500  0.500

***

(8)
The following is a PBE calculation of a relaxed TaAl3Ni12 crystal, from the Alexandria database.

electronic total energy: -6.213 eV per atom
DOS at the Fermi energy: 14.447 states/eV/cell
calculated formation energy: -0.435 eV per atom

Unit cell a=3.604 b=3.604 c=14.261 alpha=90.00 beta=90.00 gamma=90.00
Sites, in units of the cell vectors:
Ni  0.500  0.000  0.129
Ni  0.500  0.000  0.623
Ni  0.500  0.500  0.747
Ni  0.500  0.500  0.253
Ni  0.500  0.000  0.871
Ni  0.000  0.500  0.377
Ni  0.000  0.500  0.129
Ni  0.000  0.500  0.623
Ni  0.000  0.500  0.871
Ni  0.500  0.500  0.000
Ni  0.500  0.000  0.377
Ni  0.500  0.500  0.500
Al  0.000  0.000  0.744
Al  0.000  0.000  0.256
Al  0.000  0.000  0.500
Ta  0.000  0.000  0.000

***

(9)
The following is a PBE calculation of a relaxed Ce2TlC crystal, from the Alexandria database.

electronic total energy: -5.955 eV per atom
DOS at the Fermi energy: 6.175 states/eV/cell
calculated formation energy: -0.090 eV per atom

Unit cell a=3.191 b=3.191 c=8.149 alpha=90.00 beta=90.00 gamma=90.00
Sites, in units of the cell vectors:
Ce  0.000  0.000  0.829
Ce  0.000  0.000  0.171
C  0.500  0.500  0.000
Tl  0.500  0.500  0.500

***

Copy entry 9 word for word.
The following is a PBE calculation of a relaxed Ce2TlC crystal, from the Alexandria database.

electronic total energy: -5.955 eV per atom
DOS at the Fermi energy: 6.175 states/eV/cell
calculated formation energy: -0.090 eV per atom

Unit cell a=3.191 b=3.191 c=8.149 alpha=90.00 beta=90.00 gamma=90.00
Sites, in units of the cell vectors:
Ce  0.000  0.000  0.829
Ce  0.000  0.000  0.171
C  0.500  0.500  0.000
Tl  0.500  0.500  0.500

***

> Look up the electronic total energy of the second one.

-3.708 eV per atom

***

Repeat the first record exactly.
The following is a PBE calculation of a relaxed DyPH crystal, from the Alexandria database.

electronic total energy: -4.975 eV per atom
offset from the most stable computed form: 35.4 kJ/mol of atoms
DOS at the Fermi energy: 1.740 states/eV/cell

Unit cell a=3.895 b=3.895 c=4.371 alpha=116.46 beta=116.46 gamma=90.00
Sites, in units of the cell vectors:
H  0.990  0.990  0.980
Dy  0.638  0.638  0.277
P  0.222  0.222  0.443

***

> DOS at the Fermi energy of number 2 (KRb2RuCl6)?

19.003 states/eV/cell